Here is an optimized crystal structure of BaFeRuO6 from the Alexandria database. Energies are from GGA+U.

a = 5.297 Å, b = 5.298 Å, c = 5.680 Å
α = 90.05°, β = 90.00°, γ = 59.97°
Sites, in units of the cell vectors:
1 Ba 0.000 0.000 0.000
2 Fe 0.667 0.667 0.500
3 Ru 0.333 0.333 0.500
4 O 0.014 0.390 0.306
5 O 0.390 0.015 0.694
6 O 0.595 0.391 0.694
7 O 0.014 0.596 0.694
8 O 0.390 0.595 0.306
9 O 0.595 0.014 0.306

Output
calculated total energy: -59.29 eV per cell
volume: 15.33 Å³ per atom